# 1
Computed, not measured: crystalline Cs4TlCl7 at its relaxed geometry at the PBE level of DFT.

POSCAR file:
```
Cs4TlCl7
1.0
5.206 0.000 1.732
2.300 10.118 1.777
-0.330 -0.261 9.683
Tl Cl Cs
1 7 4
direct
0.000 0.000 0.000
0.629 0.502 0.240
0.371 0.498 0.760
0.742 0.886 0.630
0.258 0.114 0.370
0.950 0.220 0.881
0.050 0.780 0.119
0.500 0.000 0.000
0.736 0.642 0.886
0.264 0.358 0.114
0.387 0.771 0.455
0.613 0.229 0.545
```

Output
Energy relative to the elements, uncorrected: -1.4195 eV/atom
Total magnetic moment: 0.4 μB/cell
Electronic total energy: -2.98 eV per atom
Density of states at the Fermi level: 1.23 states/eV/atom

# 2
Computed, not measured: crystalline Cs2TlCl3 at its relaxed geometry at the PBE level of DFT.

POSCAR file:
```
Cs2TlCl3
1.0
8.544 0.000 0.000
0.000 8.335 -0.591
0.000 -3.295 7.679
Tl Cs Cl
2 4 6
direct
0.750 0.921 0.921
0.250 0.079 0.079
0.250 0.848 0.501
0.750 0.499 0.152
0.750 0.152 0.499
0.250 0.501 0.848
0.500 0.832 0.168
0.500 0.168 0.832
0.250 0.407 0.407
0.750 0.593 0.593
0.000 0.832 0.168
0.000 0.168 0.832
```

Output
Energy relative to the elements, uncorrected: -1.6004 eV/atom
Total magnetic moment: 0.0 μB/cell
Offset from the most stable computed form: 17 meV/atom
Electronic total energy: -3.20 eV per atom
Density of states at the Fermi level: 0.00 states/eV/atom

# 3
Computed, not measured: crystalline CsTl2Cl4 at its relaxed geometry at the PBE level of DFT.

POSCAR file:
```
CsTl2Cl4
1.0
-2.594 -2.130 -3.038
7.013 -0.569 -2.216
1.443 -13.053 7.920
Tl Cl Cs
4 8 2
direct
0.871 0.742 0.567
0.129 0.258 0.433
0.129 0.258 0.067
0.871 0.742 0.933
0.081 0.163 0.250
0.772 0.545 0.104
0.772 0.545 0.396
0.228 0.455 0.896
0.500 0.000 0.500
0.919 0.837 0.750
0.500 0.000 0.000
0.228 0.455 0.604
0.614 0.228 0.750
0.386 0.772 0.250
```

Output
Energy relative to the elements, uncorrected: -1.1589 eV/atom
Total magnetic moment: 0.0 μB/cell
Offset from the most stable computed form: 0 meV/atom
Electronic total energy: -3.01 eV per atom
Density of states at the Fermi level: 0.55 states/eV/atom